(1)
# Sr2TbSbO6 | Alexandria | PBEsol | optimized geometry
data_Sr2TbSbO6
_chemical_formula_sum 'Sr8 Tb4 Sb4 O24'
_space_group_name_H-M_alt 'F m -3 m'
_space_group_IT_number 225
_space_group_name_Hall '-F 4 2 3'
_cell_length_a 8.3229
_cell_length_b 8.3229
_cell_length_c 8.3229
_cell_angle_alpha 90.00
_cell_angle_beta 90.00
_cell_angle_gamma 90.00
loop_
_atom_site_label
_atom_site_type_symbol
_atom_site_fract_x
_atom_site_fract_y
_atom_site_fract_z
Sr1 Sr 0.2500 0.2500 0.2500
Tb1 Tb 0.0000 0.0000 0.0000
Sb1 Sb 0.0000 0.0000 0.5000
O1 O 0.0000 0.0000 0.2626
# E	-7.15	eV per atom

=====

(2)
# TaSb3O8 | Alexandria | PBEsol | optimized geometry
data_TaSb3O8
_chemical_formula_sum 'Ta4 Sb12 O32'
_space_group_name_H-M_alt 'P 1'
_space_group_IT_number 1
_cell_length_a 4.8830
_cell_length_b 5.5078
_cell_length_c 23.5543
_cell_angle_alpha 90.06
_cell_angle_beta 90.01
_cell_angle_gamma 90.07
loop_
_space_group_symop_operation_xyz
'x,y,z'
loop_
_atom_site_label
_atom_site_type_symbol
_atom_site_fract_x
_atom_site_fract_y
_atom_site_fract_z
Ta1 Ta 0.0000 0.0000 0.0000
Ta2 Ta 0.0014 0.2649 0.7501
Ta3 Ta 0.0031 0.0032 0.5003
Ta4 Ta 0.4941 0.5034 0.5004
Sb1 Sb 0.0361 0.6127 0.3754
Sb2 Sb 0.0393 0.6088 0.8766
Sb3 Sb 0.4624 0.1099 0.8751
Sb4 Sb 0.4617 0.1135 0.3755
Sb5 Sb 0.4986 0.5005 0.0014
Sb6 Sb 0.4985 0.7636 0.2500
Sb7 Sb 0.5031 0.7642 0.7513
Sb8 Sb 0.5367 0.1547 0.1250
Sb9 Sb 0.5397 0.1570 0.6253
Sb10 Sb 0.9577 0.6550 0.6259
Sb11 Sb 0.9649 0.6584 0.1261
Sb12 Sb 0.9993 0.2634 0.2498
O1 O 0.1608 0.2852 0.3294
O2 O 0.1653 0.2845 0.8298
O3 O 0.1659 0.9477 0.9242
O4 O 0.1687 0.9472 0.4240
O5 O 0.2023 0.9804 0.2210
O6 O 0.2070 0.7064 0.5294
O7 O 0.2086 0.7130 0.0307
O8 O 0.2097 0.9889 0.7259
O9 O 0.2880 0.4895 0.7237
O10 O 0.2916 0.2059 0.5295
O11 O 0.2948 0.4812 0.2207
O12 O 0.2989 0.2091 0.0296
O13 O 0.3290 0.4469 0.4239
O14 O 0.3362 0.7833 0.8304
O15 O 0.3374 0.7849 0.3295
O16 O 0.3385 0.4467 0.9240
O17 O 0.6591 0.8170 0.1733
O18 O 0.6593 0.8177 0.6734
O19 O 0.6675 0.4809 0.0804
O20 O 0.6686 0.4777 0.5788
O21 O 0.6978 0.0559 0.2804
O22 O 0.7008 0.0571 0.7792
O23 O 0.7162 0.7726 0.9733
O24 O 0.7253 0.7578 0.4747
O25 O 0.7729 0.2577 0.4748
O26 O 0.7897 0.2742 0.9756
O27 O 0.7951 0.5535 0.7805
O28 O 0.7998 0.5554 0.2803
O29 O 0.8305 0.9780 0.5794
O30 O 0.8331 0.9795 0.0792
O31 O 0.8367 0.3171 0.6742
O32 O 0.8405 0.3167 0.1727
# E	-7.52	eV per atom

=====

(3)
# TaSbO3 | Alexandria | PBEsol | optimized geometry
data_TaSbO3
_chemical_formula_sum 'Ta1 Sb1 O3'
_space_group_name_H-M_alt 'P m -3 m'
_space_group_IT_number 221
_space_group_name_Hall '-P 4 2 3'
_cell_length_a 4.0292
_cell_length_b 4.0292
_cell_length_c 4.0292
_cell_angle_alpha 90.00
_cell_angle_beta 90.00
_cell_angle_gamma 90.00
loop_
_atom_site_label
_atom_site_type_symbol
_atom_site_fract_x
_atom_site_fract_y
_atom_site_fract_z
Ta1 Ta 0.0000 0.0000 0.0000
Sb1 Sb 0.5000 0.5000 0.5000
O1 O 0.0000 0.0000 0.5000
# E	-8.24	eV per atom

=====

(4)
# TaTiSbO6 | Alexandria | PBEsol | optimized geometry
data_TaTiSbO6
_chemical_formula_sum 'Ta2 Ti2 Sb2 O12'
_space_group_name_H-M_alt 'P -1'
_space_group_IT_number 2
_cell_length_a 4.8254
_cell_length_b 5.4963
_cell_length_c 8.6052
_cell_angle_alpha 91.65
_cell_angle_beta 106.26
_cell_angle_gamma 90.42
loop_
_space_group_symop_operation_xyz
'x,y,z'
'-x,-y,-z'
loop_
_atom_site_label
_atom_site_type_symbol
_atom_site_fract_x
_atom_site_fract_y
_atom_site_fract_z
Ta1 Ta 0.0862 0.3269 0.1528
Ti1 Ti 0.4338 0.1697 0.8460
Sb1 Sb 0.2085 0.7575 0.5000
O1 O 0.0118 0.4161 0.3638
O2 O 0.1484 0.0818 0.6380
O3 O 0.1611 0.3514 0.9374
O4 O 0.2765 0.8507 0.9404
O5 O 0.3337 0.0731 0.2307
O6 O 0.4023 0.5801 0.2270
# E	-8.84	eV per atom

=====

(5)
# Tb3SbO7 | Alexandria | PBEsol | optimized geometry
data_Tb3SbO7
_chemical_formula_sum 'Tb12 Sb4 O28'
_space_group_name_H-M_alt 'C m c m'
_space_group_IT_number 63
_space_group_name_Hall '-C 2c 2'
_cell_length_a 10.4953
_cell_length_b 7.3405
_cell_length_c 7.4530
_cell_angle_alpha 90.00
_cell_angle_beta 90.00
_cell_angle_gamma 90.00
loop_
_atom_site_label
_atom_site_type_symbol
_atom_site_fract_x
_atom_site_fract_y
_atom_site_fract_z
Tb1 Tb 0.0000 0.0000 0.0000
Tb2 Tb 0.2284 0.2861 0.2500
Sb1 Sb 0.0000 0.5000 0.0000
O1 O 0.0000 0.4088 0.2500
O2 O 0.1293 0.3071 0.5346
O3 O 0.1330 0.0184 0.2500
# E	-8.12	eV per atom

=====

(6)
# Tb3SbO7 | Alexandria | PBEsol | optimized geometry
data_Tb3SbO7
_chemical_formula_sum 'Tb6 Sb2 O14'
_space_group_name_H-M_alt 'P -1'
_space_group_IT_number 2
_cell_length_a 6.3790
_cell_length_b 6.4187
_cell_length_c 7.5147
_cell_angle_alpha 73.15
_cell_angle_beta 89.81
_cell_angle_gamma 81.92
loop_
_space_group_symop_operation_xyz
'x,y,z'
'-x,-y,-z'
loop_
_atom_site_label
_atom_site_type_symbol
_atom_site_fract_x
_atom_site_fract_y
_atom_site_fract_z
Tb1 Tb 0.0411 0.0050 0.2479
Tb2 Tb 0.2347 0.5366 0.6167
Tb3 Tb 0.2387 0.5262 0.1144
Sb1 Sb 0.5000 0.0000 0.0000
Sb2 Sb 0.5000 0.0000 0.5000
O1 O 0.0478 0.6374 0.8443
O2 O 0.0583 0.6461 0.3337
O3 O 0.2079 0.9317 0.5469
O4 O 0.2103 0.9326 0.9853
O5 O 0.3986 0.0734 0.2310
O6 O 0.4248 0.3219 0.4555
O7 O 0.4281 0.3316 0.8868
# E	-8.15	eV per atom

=====

(7)
# Tb3SbO7 | Alexandria | PBEsol | optimized geometry
data_Tb3SbO7
_chemical_formula_sum 'Tb12 Sb4 O28'
_space_group_name_H-M_alt 'C m c m'
_space_group_IT_number 63
_space_group_name_Hall '-C 2c 2'
_cell_length_a 7.4120
_cell_length_b 10.4963
_cell_length_c 7.4727
_cell_angle_alpha 90.00
_cell_angle_beta 90.00
_cell_angle_gamma 90.00
loop_
_atom_site_label
_atom_site_type_symbol
_atom_site_fract_x
_atom_site_fract_y
_atom_site_fract_z
Tb1 Tb 0.0000 0.0000 0.0000
Tb2 Tb 0.2337 0.2663 0.2500
Sb1 Sb 0.0000 0.5000 0.0000
O1 O 0.0000 0.1299 0.7500
O2 O 0.0000 0.1362 0.2500
O3 O 0.0000 0.4294 0.2500
O4 O 0.1981 0.3754 0.5298
# E	-8.15	eV per atom

=====

(8)
# TcSbO3 | Alexandria | PBEsol | optimized geometry
data_TcSbO3
_chemical_formula_sum 'Tc1 Sb1 O3'
_space_group_name_H-M_alt 'P m -3 m'
_space_group_IT_number 221
_space_group_name_Hall '-P 4 2 3'
_cell_length_a 3.9111
_cell_length_b 3.9111
_cell_length_c 3.9111
_cell_angle_alpha 90.00
_cell_angle_beta 90.00
_cell_angle_gamma 90.00
loop_
_atom_site_label
_atom_site_type_symbol
_atom_site_fract_x
_atom_site_fract_y
_atom_site_fract_z
Tc1 Tc 0.0000 0.0000 0.0000
Sb1 Sb 0.5000 0.5000 0.5000
O1 O 0.0000 0.0000 0.5000
# E	-7.16	eV per atom